(1)
{
  "formula": "RbBiTe2I",
  "functional": "PBE",
  "state": "optimized geometry",
  "relative_energy_mev_per_atom": 0,
  "spacegroup": "P4/mmm (123)",
  "n_ef_per_ev_cell": 5.55,
  "lattice_angstrom": [[5.991, 0.000, 0.000], [0.000, 5.991, 0.000], [0.000, 0.000, 6.387]],
  "species": ["Rb", "Bi", "Te", "Te", "I"],
  "fractional_positions": [[0.000, 0.000, 0.000], [0.500, 0.500, 0.500], [0.000, 0.500, 0.500], [0.500, 0.000, 0.500], [0.500, 0.500, 0.000]]
}

---

(2)
{
  "formula": "RbTl2BiI6",
  "functional": "PBE",
  "state": "optimized geometry",
  "spacegroup": "R3 (146)",
  "final_energy_ev_per_atom": -2.63,
  "n_ef_per_ev_cell": 0.00,
  "lattice_angstrom": [[4.377, 2.527, 7.707], [-4.377, 2.527, 7.707], [0.000, -5.054, 7.707]],
  "species": ["Rb", "Tl", "Tl", "Bi", "I", "I", "I", "I", "I", "I"],
  "fractional_positions": [[0.000, 0.000, 0.000], [0.293, 0.293, 0.293], [0.807, 0.807, 0.807], [0.487, 0.487, 0.487], [0.116, 0.676, 0.417], [0.255, 0.584, 0.847], [0.417, 0.116, 0.676], [0.584, 0.847, 0.255], [0.676, 0.417, 0.116], [0.847, 0.255, 0.584]]
}

---

(3)
{
  "formula": "Rb2VBiI6",
  "functional": "PBE",
  "state": "optimized geometry",
  "spacegroup": "I4/mmm (139)",
  "final_energy_ev_per_atom": -3.13,
  "n_ef_per_ev_cell": 4.63,
  "lattice_angstrom": [[-4.263, 4.263, 6.040], [4.263, -4.263, 6.040], [4.263, 4.263, -6.040]],
  "species": ["Rb", "Rb", "V", "Bi", "I", "I", "I", "I", "I", "I"],
  "fractional_positions": [[0.250, 0.750, 0.500], [0.750, 0.250, 0.500], [0.000, 0.000, 0.000], [0.500, 0.500, 0.000], [0.238, 0.238, 0.000], [0.239, 0.239, 0.478], [0.239, 0.761, 0.000], [0.761, 0.239, 0.000], [0.761, 0.761, 0.522], [0.762, 0.762, 0.000]]
}

---

(4)
{
  "formula": "Rb2BiWI6",
  "functional": "PBE",
  "state": "optimized geometry",
  "spacegroup": "I4/mmm (139)",
  "final_energy_ev_per_atom": -3.22,
  "n_ef_per_ev_cell": 2.94,
  "lattice_angstrom": [[-4.330, 4.330, 6.053], [4.330, -4.330, 6.053], [4.330, 4.330, -6.053]],
  "species": ["Rb", "Rb", "Bi", "W", "I", "I", "I", "I", "I", "I"],
  "fractional_positions": [[0.250, 0.750, 0.500], [0.750, 0.250, 0.500], [0.000, 0.000, 0.000], [0.500, 0.500, 0.000], [0.264, 0.264, 0.000], [0.267, 0.267, 0.534], [0.267, 0.733, 0.000], [0.733, 0.267, 0.000], [0.733, 0.733, 0.466], [0.736, 0.736, 0.000]]
}

---

(5)
{
  "formula": "Rb2YBiI6",
  "functional": "PBE",
  "state": "optimized geometry",
  "spacegroup": "I4/mmm (139)",
  "final_energy_ev_per_atom": -3.15,
  "n_ef_per_ev_cell": 0.00,
  "lattice_angstrom": [[-4.317, 4.317, 7.172], [4.317, -4.317, 7.172], [4.317, 4.317, -7.172]],
  "species": ["Rb", "Rb", "Y", "Bi", "I", "I", "I", "I", "I", "I"],
  "fractional_positions": [[0.250, 0.750, 0.500], [0.750, 0.250, 0.500], [0.000, 0.000, 0.000], [0.500, 0.500, 0.000], [0.211, 0.211, 0.000], [0.247, 0.247, 0.494], [0.247, 0.753, 0.000], [0.753, 0.247, 0.000], [0.753, 0.753, 0.506], [0.789, 0.789, 0.000]]
}

---

(6)
{
  "formula": "Rb2ZnBiI6",
  "functional": "PBE",
  "state": "optimized geometry",
  "spacegroup": "I4/mmm (139)",
  "final_energy_ev_per_atom": -2.44,
  "n_ef_per_ev_cell": 2.93,
  "lattice_angstrom": [[-4.296, 4.296, 6.013], [4.296, -4.296, 6.013], [4.296, 4.296, -6.013]],
  "species": ["Rb", "Rb", "Zn", "Bi", "I", "I", "I", "I", "I", "I"],
  "fractional_positions": [[0.250, 0.750, 0.500], [0.750, 0.250, 0.500], [0.000, 0.000, 0.000], [0.500, 0.500, 0.000], [0.240, 0.240, 0.000], [0.244, 0.244, 0.487], [0.244, 0.756, 0.000], [0.756, 0.244, 0.000], [0.756, 0.756, 0.513], [0.760, 0.760, 0.000]]
}

---

(7)
{
  "formula": "RbZnBiI6",
  "functional": "PBE",
  "state": "optimized geometry",
  "spacegroup": "P312 (149)",
  "final_energy_ev_per_atom": -2.39,
  "n_ef_per_ev_cell": 0.00,
  "lattice_angstrom": [[7.762, 0.000, 0.000], [-3.881, 6.722, 0.000], [0.000, 0.000, 8.230]],
  "species": ["Rb", "Zn", "Bi", "I", "I", "I", "I", "I", "I"],
  "fractional_positions": [[0.000, 0.000, 0.000], [0.667, 0.333, 0.500], [0.333, 0.667, 0.500], [0.381, 0.022, 0.709], [0.381, 0.359, 0.291], [0.641, 0.022, 0.291], [0.641, 0.619, 0.709], [0.978, 0.359, 0.709], [0.978, 0.619, 0.291]]
}

---

(8)
{
  "formula": "Rb2ZrBiI",
  "functional": "PBE",
  "state": "optimized geometry",
  "spacegroup": "P4/mmm (123)",
  "final_energy_ev_per_atom": -2.54,
  "n_ef_per_ev_cell": 5.41,
  "lattice_angstrom": [[6.479, 0.000, 0.000], [0.000, 6.479, 0.000], [0.000, 0.000, 6.450]],
  "species": ["Rb", "Rb", "Zr", "Bi", "I"],
  "fractional_positions": [[0.000, 0.500, 0.000], [0.500, 0.000, 0.000], [0.000, 0.000, 0.500], [0.500, 0.500, 0.500], [0.500, 0.500, 0.000]]
}

---

Which formula does entry 6 have?
Rb2ZnBiI6

---

What did the fifth record say?
{
  "formula": "Rb2YBiI6",
  "functional": "PBE",
  "state": "optimized geometry",
  "spacegroup": "I4/mmm (139)",
  "final_energy_ev_per_atom": -3.15,
  "n_ef_per_ev_cell": 0.00,
  "lattice_angstrom": [[-4.317, 4.317, 7.172], [4.317, -4.317, 7.172], [4.317, 4.317, -7.172]],
  "species": ["Rb", "Rb", "Y", "Bi", "I", "I", "I", "I", "I", "I"],
  "fractional_positions": [[0.250, 0.750, 0.500], [0.750, 0.250, 0.500], [0.000, 0.000, 0.000], [0.500, 0.500, 0.000], [0.211, 0.211, 0.000], [0.247, 0.247, 0.494], [0.247, 0.753, 0.000], [0.753, 0.247, 0.000], [0.753, 0.753, 0.506], [0.789, 0.789, 0.000]]
}